[1]
Ba2TaHg3Se6 | Alexandria via LeMat-Bulk | PBE | relaxed; formation energy from raw total energies = -0.824 eV per atom
1.0
4.098 -6.710 0.000
4.098 6.710 0.000
-1.253 0.000 7.119
Ba Ta Hg Se
2 1 3 6
direct
0.164 0.836 0.000
0.836 0.164 0.000
0.500 0.500 0.000
0.000 0.000 0.500
0.363 0.637 0.500
0.637 0.363 0.500
0.195 0.471 0.784
0.276 0.276 0.205
0.471 0.195 0.784
0.529 0.805 0.216
0.724 0.724 0.795
0.805 0.529 0.216



[2]
Bi2Sb2Cl | Alexandria via LeMat-Bulk | PBE | relaxed; formation energy from raw total energies = -0.161 eV per atom; offset from the most stable computed form = 0.000 eV per atom
1.0
6.492 0.000 0.000
-1.805 7.633 0.000
-1.956 -0.898 7.594
Bi Sb Cl
4 4 2
direct
0.180 0.044 0.406
0.221 0.506 0.803
0.779 0.494 0.197
0.820 0.956 0.594
0.220 0.677 0.443
0.465 0.226 0.757
0.535 0.774 0.243
0.780 0.323 0.557
0.126 0.291 0.051
0.874 0.709 0.949



[3]
Ba5BiSb2As | Alexandria via LeMat-Bulk | PBE | relaxed; formation energy from raw total energies = -0.785 eV per atom
1.0
-2.887 4.204 8.762
2.887 -4.204 8.762
2.887 4.204 -8.762
Ba Bi Sb As
5 1 2 1
direct
0.000 0.000 0.000
0.115 0.359 0.755
0.396 0.641 0.755
0.604 0.359 0.245
0.885 0.641 0.245
0.500 0.000 0.500
0.196 0.196 0.000
0.804 0.804 0.000
0.000 0.500 0.500



[4]
BaGaH2 | Alexandria via LeMat-Bulk | PBE | relaxed; offset from the most stable computed form = 0.296 eV per atom
1.0
0.000 3.280 3.280
3.280 0.000 3.280
3.280 3.280 0.000
Ba Ga H
1 1 2
direct
0.000 0.000 0.000
0.500 0.500 0.500
0.250 0.250 0.250
0.750 0.750 0.750